VASP calculation (meta-GGA SCAN) on Sn3H2O4 at its PBEsol-relaxed geometry.

Geometry as CIF:
```
data_Sn3H2O4
_symmetry_space_group_name_H-M 'C 1 c 1'
_symmetry_Int_Tables_number 9
_cell_length_a 10.9430
_cell_length_b 10.9425
_cell_length_c 8.9253
_cell_angle_alpha 90.00
_cell_angle_beta 90.03
_cell_angle_gamma 90.00
loop_
_symmetry_equiv_pos_as_xyz
'x,y,z'
'x,-y,z+1/2'
'x+1/2,y+1/2,z'
'x+1/2,-y+1/2,z+1/2'
loop_
_atom_site_label
_atom_site_type_symbol
_atom_site_fract_x
_atom_site_fract_y
_atom_site_fract_z
_atom_site_occupancy
Sn1 Sn 0.0000 0.0372 0.0000 1
Sn2 Sn 0.0891 0.2504 0.2804 1
Sn3 Sn 0.0891 0.2496 0.7137 1
Sn4 Sn 0.1782 0.4629 0.9993 1
Sn5 Sn 0.3020 0.1610 0.9948 1
Sn6 Sn 0.3763 0.1608 0.4942 1
H1 H 0.0077 0.4971 0.2395 1
H2 H 0.1705 0.0036 0.2407 1
H3 H 0.3358 0.3311 0.7540 1
H4 H 0.3424 0.3318 0.2541 1
O1 O 0.0183 0.4288 0.1651 1
O2 O 0.0339 0.3877 0.8696 1
O3 O 0.1443 0.1119 0.8703 1
O4 O 0.1598 0.0718 0.1660 1
O5 O 0.2270 0.3054 0.1242 1
O6 O 0.2676 0.3205 0.8285 1
O7 O 0.4106 0.3210 0.3286 1
O8 O 0.4512 0.3050 0.6242 1
```

***

# NaBe2SbS meta-GGA SCAN PBEsol geometry
# Energy relative to the elements, uncorrected in meV per atom: 558
data_NaBe2SbS
_symmetry_space_group_name_H-M 'P 4/m m m'
_symmetry_Int_Tables_number 123
_symmetry_space_group_name_Hall '-P 4 2'
_cell_length_a 4.4886
_cell_length_b 4.4886
_cell_length_c 5.5660
_cell_angle_alpha 90.00
_cell_angle_beta 90.00
_cell_angle_gamma 90.00
loop_
_atom_site_label
_atom_site_type_symbol
_atom_site_fract_x
_atom_site_fract_y
_atom_site_fract_z
_atom_site_occupancy
Na1 Na 0.0000 0.0000 0.0000 1
Be1 Be 0.0000 0.5000 0.5000 1
Sb1 Sb 0.0000 0.0000 0.5000 1
S1 S 0.5000 0.5000 0.0000 1

***

# ZrI2 meta-GGA SCAN PBEsol geometry
# Energy relative to the elements, uncorrected in meV per atom: -888
data_ZrI2
_symmetry_space_group_name_H-M 'R -3'
_symmetry_Int_Tables_number 148
_symmetry_space_group_name_Hall '-R 3'
_cell_length_a 14.3363
_cell_length_b 14.3363
_cell_length_c 9.8731
_cell_angle_alpha 90.00
_cell_angle_beta 90.00
_cell_angle_gamma 120.00
loop_
_atom_site_label
_atom_site_type_symbol
_atom_site_fract_x
_atom_site_fract_y
_atom_site_fract_z
_atom_site_occupancy
Zr1 Zr 0.0409 0.1453 0.3667 1
I1 I 0.0202 0.5858 0.1640 1
I2 I 0.0509 0.1790 0.8279 1

***

# ZrSbW meta-GGA SCAN PBEsol geometry
# Energy relative to the elements, uncorrected in meV per atom: 602
data_ZrSbW
_symmetry_space_group_name_H-M 'F -4 3 m'
_symmetry_Int_Tables_number 216
_symmetry_space_group_name_Hall 'F -4 2 3'
_cell_length_a 6.4064
_cell_length_b 6.4064
_cell_length_c 6.4064
_cell_angle_alpha 90.00
_cell_angle_beta 90.00
_cell_angle_gamma 90.00
loop_
_atom_site_label
_atom_site_type_symbol
_atom_site_fract_x
_atom_site_fract_y
_atom_site_fract_z
_atom_site_occupancy
Zr1 Zr 0.0000 0.0000 0.0000 1
Sb1 Sb 0.2500 0.2500 0.2500 1
W1 W 0.0000 0.0000 0.5000 1

***

# As2PdW meta-GGA SCAN PBEsol geometry
# DFT formation energy in meV per atom: 339
data_As2PdW
_symmetry_space_group_name_H-M 'I -4 2 d'
_symmetry_Int_Tables_number 122
_symmetry_space_group_name_Hall 'I -4 2bw'
_cell_length_a 5.6452
_cell_length_b 5.6452
_cell_length_c 10.9061
_cell_angle_alpha 90.00
_cell_angle_beta 90.00
_cell_angle_gamma 90.00
loop_
_atom_site_label
_atom_site_type_symbol
_atom_site_fract_x
_atom_site_fract_y
_atom_site_fract_z
_atom_site_occupancy
As1 As 0.2460 0.2500 0.1250 1
Pd1 Pd 0.0000 0.0000 0.5000 1
W1 W 0.0000 0.0000 0.0000 1

***

# MgMn2Cl meta-GGA SCAN PBEsol geometry
# Energy relative to the elements, uncorrected in meV per atom: -260
data_MgMn2Cl
_symmetry_space_group_name_H-M 'R -3 m'
_symmetry_Int_Tables_number 166
_symmetry_space_group_name_Hall '-R 3 2"'
_cell_length_a 3.0551
_cell_length_b 3.0551
_cell_length_c 24.7855
_cell_angle_alpha 90.00
_cell_angle_beta 90.00
_cell_angle_gamma 120.00
loop_
_atom_site_label
_atom_site_type_symbol
_atom_site_fract_x
_atom_site_fract_y
_atom_site_fract_z
_atom_site_occupancy
Mg1 Mg 0.0000 0.0000 0.0000 1
Mn1 Mn 0.0000 0.0000 0.2440 1
Cl1 Cl 0.0000 0.0000 0.5000 1

***

# BeAuC3 meta-GGA SCAN PBEsol geometry
# DFT formation energy in meV per atom: 2571
data_BeAuC3
_symmetry_space_group_name_H-M 'P m -3 m'
_symmetry_Int_Tables_number 221
_symmetry_space_group_name_Hall '-P 4 2 3'
_cell_length_a 3.6417
_cell_length_b 3.6417
_cell_length_c 3.6417
_cell_angle_alpha 90.00
_cell_angle_beta 90.00
_cell_angle_gamma 90.00
loop_
_atom_site_label
_atom_site_type_symbol
_atom_site_fract_x
_atom_site_fract_y
_atom_site_fract_z
_atom_site_occupancy
Be1 Be 0.0000 0.0000 0.0000 1
Au1 Au 0.5000 0.5000 0.5000 1
C1 C 0.0000 0.0000 0.5000 1

***

# PbBr2 meta-GGA SCAN PBEsol geometry
# Energy relative to the elements, uncorrected in meV per atom: -846
data_PbBr2
_symmetry_space_group_name_H-M 'P 63/m m c'
_symmetry_Int_Tables_number 194
_symmetry_space_group_name_Hall '-P 6c 2c'
_cell_length_a 4.1863
_cell_length_b 4.1863
_cell_length_c 13.5507
_cell_angle_alpha 90.00
_cell_angle_beta 90.00
_cell_angle_gamma 120.00
loop_
_atom_site_label
_atom_site_type_symbol
_atom_site_fract_x
_atom_site_fract_y
_atom_site_fract_z
_atom_site_occupancy
Pb1 Pb 0.0000 0.0000 0.2500 1
Br1 Br 0.3333 0.6667 0.1142 1

***

# Sc2MnRe meta-GGA SCAN PBEsol geometry
# DFT formation energy in meV per atom: -50
data_Sc2MnRe
_symmetry_space_group_name_H-M 'I m m 2'
_symmetry_Int_Tables_number 44
_cell_length_a 3.1126
_cell_length_b 4.5444
_cell_length_c 9.2376
_cell_angle_alpha 90.00
_cell_angle_beta 90.00
_cell_angle_gamma 90.00
loop_
_symmetry_equiv_pos_as_xyz
'x,y,z'
'-x,-y,z'
'-x,y,z'
'x,-y,z'
'x+1/2,y+1/2,z+1/2'
'-x+1/2,-y+1/2,z+1/2'
'-x+1/2,y+1/2,z+1/2'
'x+1/2,-y+1/2,z+1/2'
loop_
_atom_site_label
_atom_site_type_symbol
_atom_site_fract_x
_atom_site_fract_y
_atom_site_fract_z
_atom_site_occupancy
Sc1 Sc 0.0000 0.0000 0.0000 1
Sc2 Sc 0.0000 0.5000 0.2212 1
Mn1 Mn 0.0000 0.5000 0.7564 1
Re1 Re 0.0000 0.0000 0.4530 1

***

# Ce3Al2I2 meta-GGA SCAN PBEsol geometry
# Energy relative to the elements, uncorrected in meV per atom: -796
data_Ce3Al2I2
_symmetry_space_group_name_H-M 'C 1 2/m 1'
_symmetry_Int_Tables_number 12
_cell_length_a 19.2510
_cell_length_b 4.1650
_cell_length_c 11.5999
_cell_angle_alpha 90.00
_cell_angle_beta 122.28
_cell_angle_gamma 90.00
loop_
_symmetry_equiv_pos_as_xyz
'x,y,z'
'-x,-y,-z'
'-x,y,-z'
'x,-y,z'
'x+1/2,y+1/2,z'
'-x+1/2,-y+1/2,-z'
'-x+1/2,y+1/2,-z'
'x+1/2,-y+1/2,z'
loop_
_atom_site_label
_atom_site_type_symbol
_atom_site_fract_x
_atom_site_fract_y
_atom_site_fract_z
_atom_site_occupancy
Ce1 Ce 0.0323 0.0000 0.1946 1
Ce2 Ce 0.1950 0.5000 0.9287 1
Ce3 Ce 0.2492 0.0000 0.6764 1
Al1 Al 0.0739 0.5000 0.0349 1
Al2 Al 0.1613 0.0000 0.1031 1
I1 I 0.0857 0.0000 0.6887 1
I2 I 0.1323 0.5000 0.4392 1

***

# Ta4Au5 meta-GGA SCAN PBEsol geometry
# DFT formation energy in meV per atom: -80
data_Ta4Au5
_symmetry_space_group_name_H-M 'I 4/m m m'
_symmetry_Int_Tables_number 139
_symmetry_space_group_name_Hall '-I 4 2'
_cell_length_a 9.2481
_cell_length_b 9.2481
_cell_length_c 3.6294
_cell_angle_alpha 90.00
_cell_angle_beta 90.00
_cell_angle_gamma 90.00
loop_
_atom_site_label
_atom_site_type_symbol
_atom_site_fract_x
_atom_site_fract_y
_atom_site_fract_z
_atom_site_occupancy
Ta1 Ta 0.0000 0.3386 0.0000 1
Au1 Au 0.0000 0.0000 0.0000 1
Au2 Au 0.1696 0.1696 0.5000 1

***

# Be2Nb2W meta-GGA SCAN PBEsol geometry
# DFT formation energy in meV per atom: -192
data_Be2Nb2W
_symmetry_space_group_name_H-M 'P 4/m b m'
_symmetry_Int_Tables_number 127
_symmetry_space_group_name_Hall '-P 4 2ab'
_cell_length_a 6.3732
_cell_length_b 6.3732
_cell_length_c 3.3021
_cell_angle_alpha 90.00
_cell_angle_beta 90.00
_cell_angle_gamma 90.00
loop_
_atom_site_label
_atom_site_type_symbol
_atom_site_fract_x
_atom_site_fract_y
_atom_site_fract_z
_atom_site_occupancy
Be1 Be 0.1162 0.3838 0.0000 1
Nb1 Nb 0.1801 0.6801 0.5000 1
W1 W 0.0000 0.0000 0.0000 1

***

| no. | total energy (eV/atom) |
| --- | --- |
| 1 | -16.733 |
| 2 | -11.404 |
| 3 | -35.615 |
| 4 | -45.280 |
| 5 | -35.372 |
| 6 | -12.625 |
| 7 | -18.191 |
| 8 | -39.080 |
| 9 | -29.506 |
| 10 | -32.607 |
| 11 | -68.093 |
| 12 | -29.123 |